[1]
DFT (PBE) results for crystalline ReAuSeO2 at its relaxed geometry.

The structure in extended XYZ format:
```
5
Lattice="3.869 0.000 0.000 0.000 3.869 0.000 0.000 0.000 5.445" Properties=species:S:1:pos:R:3 pbc="T T T"
Re 0.000 0.000 0.000
Au 1.934 1.934 0.000
Se 1.934 1.934 2.722
O 0.000 1.934 2.722
O 1.934 0.000 2.722
```

Uncorrected energy = -4.917 eV per atom

[2]
DFT (PBE) results for crystalline ReSiAuO2 at its relaxed geometry.

The structure in extended XYZ format:
```
5
Lattice="3.541 0.000 0.000 0.000 3.541 0.000 0.000 0.000 5.676" Properties=species:S:1:pos:R:3 pbc="T T T"
Re 0.000 0.000 0.000
Si 0.000 0.000 2.838
Au 1.770 1.770 0.000
O 0.000 1.770 2.838
O 1.770 0.000 2.838
```

Uncorrected energy = -6.154 eV per atom

| no. | formation energy without anion corrections (meV/atom) |
| --- | --- |
| 1 | 908 |
| 2 | 59 |